1.
An optimized crystal structure of NaNd8Se12. Source: Alexandria, functional GGA-PBEsol.

Calculated values
The density of states at the Fermi level is 25.18 states/eV per cell. For the total DFT energy (no corrections), the calculation gives -513.69 eV for the cell shown. The uncorrected formation energy is -39.487 eV per formula unit.

Cell: 8.7980 8.7980 26.4790 Å, 90.00 90.00 90.00°
Last column: nearest neighbours and their distance in Å.
Space group I-42d (No. 122)
Unique sites:
Na 0.0000 0.0000 0.0000 (multiplicity 4)  8 Se 2.98-3.20
Nd 0.0000 0.0000 0.3327 (multiplicity 8)  8 Se 2.95-3.12
Nd 0.1198 0.7500 0.1250 (multiplicity 8)  8 Se 2.97-3.16
Nd 0.1282 0.7468 0.4594 (multiplicity 16)  8 Se 2.94-3.16
Se 0.0750 0.6780 0.3523 (multiplicity 16)  5 Nd 2.94-3.14, 1 Na 3.20
Se 0.0756 0.6731 0.6827 (multiplicity 16)  6 Nd 2.98-3.16, 1 Se 3.32
Se 0.0784 0.6736 0.0156 (multiplicity 16)  5 Nd 2.96-3.11, 1 Na 2.98



2.
An optimized crystal structure of CaMgZr2. Source: Alexandria, functional GGA-PBEsol.

Calculated values
The density of states at the Fermi level is 5.62 states/eV per cell. Its formation energy is 338 meV/atom. For the total DFT energy (no corrections), the calculation gives -20.68 eV for the cell shown.

Cell: 3.0297 4.9571 6.4253 Å, 90.00 90.00 90.00°
Last column: nearest neighbours and their distance in Å.
Space group Pmmm (No. 47)
Unique sites:
Ca 0.0000 0.0000 0.0000 (multiplicity 1)  2 Ca 3.03, 2 Mg 3.21, 8 Zr 3.35
Mg 0.0000 0.0000 0.5000 (multiplicity 1)  2 Mg 3.03, 2 Ca 3.21, 8 Zr 3.29
Zr 0.5000 0.5000 0.2611 (multiplicity 2)  4 Zr 3.03-3.35, 4 Mg 3.29, 4 Ca 3.35



3.
An optimized crystal structure of ScAgPCl2. Source: Alexandria, functional GGA-PBEsol.

Calculated values
The density of states at the Fermi level is 3.82 states/eV per cell. For the total DFT energy (no corrections), the calculation gives -22.30 eV for the cell shown. The uncorrected formation energy is -2.579 eV per formula unit.

Cell: 4.7438 4.7438 5.3088 Å, 90.00 90.00 90.00°
Last column: nearest neighbours and their distance in Å.
Space group P4/mmm (No. 123)
Unique sites:
Sc 0.0000 0.0000 0.0000 (multiplicity 1)  4 Cl 2.37, 2 P 2.65
Ag 0.5000 0.5000 0.5000 (multiplicity 1)  4 P 3.35, 8 Cl 3.56
P 0.0000 0.0000 0.5000 (multiplicity 1)  2 Sc 2.65
Cl 0.0000 0.5000 0.0000 (multiplicity 2)  2 Sc 2.37



4.
An optimized crystal structure of P6Pb10O25. Source: Alexandria, functional GGA-PBEsol.

Calculated values
The density of states at the Fermi level is 0.00 states/eV per cell. For the total DFT energy (no corrections), the calculation gives -564.25 eV for the cell shown. The uncorrected formation energy is -76.157 eV per formula unit.

Cell: 9.8358 7.3614 17.0217 Å, 90.00 90.11 90.00°
Last column: nearest neighbours and their distance in Å.
Space group P2_1 (No. 4)
Unique sites:
P 0.0319 0.0000 0.0612 (multiplicity 2)  4 O 1.54-1.58
P 0.0732 0.9985 0.4535 (multiplicity 2)  4 O 1.54-1.58
P 0.1371 0.9989 0.7368 (multiplicity 2)  4 O 1.54-1.57
P 0.3622 0.4993 0.7670 (multiplicity 2)  4 O 1.55-1.56
P 0.4135 0.4994 0.0556 (multiplicity 2)  4 O 1.55-1.56
P 0.4634 0.4986 0.4320 (multiplicity 2)  4 O 1.55-1.56
Pb 0.0138 0.9979 0.2502 (multiplicity 2)  1 O 2.27
Pb 0.1166 0.4987 0.3771 (multiplicity 2)  2 O 2.28-2.54
Pb 0.1190 0.4994 0.1237 (multiplicity 2)  3 O 2.29-2.53
Pb 0.2567 0.2491 0.9174 (multiplicity 2)  6 O 2.55-2.69
Pb 0.2575 0.7435 0.5833 (multiplicity 2)  6 O 2.52-2.71
Pb 0.2566 0.7501 0.9184 (multiplicity 2)  6 O 2.55-2.67
Pb 0.2586 0.2534 0.5836 (multiplicity 2)  6 O 2.52-2.71
Pb 0.3604 0.9983 0.1349 (multiplicity 2)  1 O 2.26
Pb 0.3624 0.9977 0.3632 (multiplicity 2)  1 O 2.26
Pb 0.4988 0.9984 0.7513 (multiplicity 2)  5 O 2.32-2.57
O 0.0269 0.8292 0.1148 (multiplicity 2)  1 P 1.55
O 0.0276 0.1709 0.1147 (multiplicity 2)  1 P 1.55
O 0.0574 0.8308 0.7063 (multiplicity 2)  1 P 1.55
O 0.0582 0.1679 0.7064 (multiplicity 2)  1 P 1.55
O 0.0728 0.9991 0.5463 (multiplicity 2)  1 P 1.58
O 0.0747 0.4979 0.5762 (multiplicity 2)  1 P 1.54
O 0.1026 0.5002 0.9896 (multiplicity 2)  1 P 1.58
O 0.1529 0.1694 0.4264 (multiplicity 2)  1 P 1.55
O 0.1534 0.8275 0.4270 (multiplicity 2)  1 P 1.55
O 0.1538 0.9989 0.8270 (multiplicity 2)  1 P 1.54
O 0.1557 0.9995 0.0062 (multiplicity 2)  1 P 1.54
O 0.2285 0.5007 0.8160 (multiplicity 2)  1 P 1.56
O 0.2442 0.9933 0.2491 (multiplicity 2)  3 Pb 2.26-2.27
O 0.2820 0.9984 0.6977 (multiplicity 2)  1 P 1.57
O 0.3307 0.3317 0.0845 (multiplicity 2)  1 P 1.56
O 0.3309 0.6686 0.0830 (multiplicity 2)  1 P 1.56
O 0.3317 0.4985 0.6778 (multiplicity 2)  1 P 1.55
O 0.3389 0.4989 0.4882 (multiplicity 2)  1 P 1.56
O 0.4013 0.9971 0.5209 (multiplicity 2)  1 P 1.55
O 0.4196 0.4979 0.9645 (multiplicity 2)  1 P 1.55
O 0.4408 0.9997 0.9090 (multiplicity 2)  1 P 1.55
O 0.4448 0.3277 0.7915 (multiplicity 2)  1 P 1.56
O 0.4464 0.6701 0.7906 (multiplicity 2)  1 P 1.56
O 0.4606 0.3300 0.3766 (multiplicity 2)  1 P 1.56
O 0.4626 0.6687 0.3773 (multiplicity 2)  1 P 1.56



5.
An optimized crystal structure of LiCd2In. Source: Alexandria, functional GGA-PBEsol.

Calculated values
The density of states at the Fermi level is 1.21 states/eV per cell. Its formation energy is -129 meV/atom. For the total DFT energy (no corrections), the calculation gives -7.86 eV for the cell shown.

Cell: 3.1105 5.0238 5.3385 Å, 90.00 92.08 90.00°
Last column: nearest neighbours and their distance in Å.
Space group P2/m (No. 10)
Unique sites:
Li 0.0000 0.0000 0.0000 (multiplicity 1)  4 Cd 2.92, 4 In 3.04-3.14, 2 Li 3.11
Cd 0.2745 0.5000 0.2339 (multiplicity 2)  5 Cd 2.91-3.12, 2 Li 2.92, 2 In 2.96
In 0.5000 0.0000 0.5000 (multiplicity 1)  4 Cd 2.96, 4 Li 3.04-3.14, 2 In 3.11



6.
An optimized crystal structure of AlTcCl. Source: Alexandria, functional GGA-PBEsol.

Calculated values
The density of states at the Fermi level is 2.66 states/eV per cell. The calculation puts the energy above the most stable polymorph in this dataset at 0 meV/atom. For the total DFT energy (no corrections), the calculation gives -17.32 eV for the cell shown. The uncorrected formation energy is 0.051 eV per formula unit.

Cell: 2.9220 2.9220 6.9820 Å, 90.00 90.00 120.00°
Last column: nearest neighbours and their distance in Å.
Space group P3m1 (No. 156)
Unique sites:
Al 0.0000 0.0000 0.0000 (multiplicity 1)  3 Cl 2.40, 3 Tc 2.53
Tc 0.6667 0.3333 0.2704 (multiplicity 1)  3 Al 2.53
Cl 0.3333 0.6667 0.7559 (multiplicity 1)  3 Al 2.40



7.
An optimized crystal structure of AgTeRh2. Source: Alexandria, functional GGA-PBEsol.

Calculated values
The density of states at the Fermi level is 2.93 states/eV per cell. For the total DFT energy (no corrections), the calculation gives -22.90 eV for the cell shown. The uncorrected formation energy is 0.218 eV per formula unit.

Cell: 3.2571 3.2682 6.0766 Å, 90.00 90.00 90.00°
Last column: nearest neighbours and their distance in Å.
Space group Pmmm (No. 47)
Unique sites:
Ag 0.0000 0.0000 0.0000 (multiplicity 1)  8 Rh 2.79, 2 Te 3.04
Te 0.0000 0.0000 0.5000 (multiplicity 1)  8 Rh 2.73, 2 Ag 3.04
Rh 0.5000 0.5000 0.2595 (multiplicity 2)  4 Te 2.73, 4 Ag 2.79, 1 Rh 2.92



8.
An optimized crystal structure of AlP2Cl. Source: Alexandria, functional GGA-PBEsol.

Calculated values
The density of states at the Fermi level is 1.76 states/eV per cell. The calculation puts the energy above the most stable polymorph in this dataset at 225 meV/atom. For the total DFT energy (no corrections), the calculation gives -35.78 eV for the cell shown. The uncorrected formation energy is -0.209 eV per formula unit.

Cell: 4.0398 4.9319 7.1491 Å, 90.00 90.00 90.00°
Last column: nearest neighbours and their distance in Å.
Space group Amm2 (No. 38)
Unique sites:
Al 0.0000 0.0000 0.0000 (multiplicity 2)  5 P 2.58-2.80, 2 Cl 2.71
P 0.0000 0.0000 0.3921 (multiplicity 2)  2 P 2.29
P 0.5000 0.0000 0.2421 (multiplicity 2)  2 P 2.29, 2 Cl 2.47
Cl 0.5000 0.0000 0.7473 (multiplicity 2)  2 P 2.47, 2 Al 2.71



9.
An optimized crystal structure of TaTeSe2. Source: Alexandria, functional GGA-PBEsol.

Calculated values
The density of states at the Fermi level is 7.53 states/eV per cell. For the total DFT energy (no corrections), the calculation gives -73.69 eV for the cell shown. The uncorrected formation energy is -0.785 eV per formula unit.

Cell: 3.3961 3.3961 26.1213 Å, 90.00 90.00 120.00°
Last column: nearest neighbours and their distance in Å.
Space group R3m (No. 160, hexagonal axes)
Unique sites:
Ta 0.0000 0.0000 0.0000 (multiplicity 3)  3 Se 2.58, 3 Te 2.81
Te 0.0000 0.0000 0.7438 (multiplicity 3)  3 Ta 2.81, 3 Se 3.04
Se 0.0000 0.0000 0.2692 (multiplicity 3)  3 Ta 2.58
Se 0.0000 0.0000 0.4992 (multiplicity 3)  3 Te 3.04, 9 Se 3.34-3.40